Entry from Alexandria via LeMat-Bulk: a relaxed structure of CePm2Tm3Te6 (PBE).

Properties
Mass density ... 7.88 g/cm3
Formation energy (no corrections) ... -1293 meV/atom
Magnetization ... 0.113 μB per atom

Lattice parameters (Å, degrees): 19.312 4.323 8.921 90.00 105.52 90.00
Space group C2/m (No. 12)
One atom of each set of equivalent atoms:
Ce 0.000 0.000 0.000 (multiplicity 2)
Pm 0.166 0.500 0.332 (multiplicity 4)
Tm 0.000 0.000 0.500 (multiplicity 2)
Tm 0.167 0.500 0.835 (multiplicity 4)
Te 0.004 0.500 0.741 (multiplicity 4)
Te 0.164 0.000 0.592 (multiplicity 4)
Te 0.170 0.000 0.076 (multiplicity 4)

Entry from Alexandria via LeMat-Bulk: a relaxed structure of Pr2NpMn2N6 (PBE).

Properties
Mass density ... 7.39 g/cm3
Formation energy (no corrections) ... -730 meV/atom
Magnetization ... 0.220 μB per atom

Lattice parameters (Å, degrees): 5.8105 5.8105 16.4277 90.00 90.00 120.00
Space group R-3m (No. 166, hexagonal axes)
One atom of each set of equivalent atoms:
Pr 0.0000 0.0000 0.2139 (multiplicity 6)
Np 0.0000 0.0000 0.0000 (multiplicity 3)
Mn 0.0000 0.0000 0.4395 (multiplicity 6)
N 0.0090 0.5045 0.7526 (multiplicity 18)